(1)
4
Lattice="4.790 0.000 0.000 0.000 4.790 0.000 0.000 0.000 3.903" Properties=species:S:1:pos:R:3 comment="CeSnAs2 | the Alexandria database | GGA-PBE | relaxed" polymorph_energy_ev_per_fu=0.000 ef_ev_per_fu=-2.87 sg="P4/mmm (123)" pbc="T T T"
Ce 0.000 0.000 0.000
Sn 2.395 2.395 0.000
As 0.000 2.395 1.951
As 2.395 0.000 1.951


(2)
12
Lattice="3.695 -6.396 0.000 3.695 6.396 0.000 -2.464 0.000 6.959" Properties=species:S:1:pos:R:3 comment="Ce6SnAs5 | the Alexandria database | GGA-PBE | relaxed" ef_ev_per_fu=-14.98 sg="C2/m (12)" pbc="T T T"
Ce -0.044 2.207 5.177
Ce 1.147 0.000 1.777
Ce -0.044 -2.207 5.177
Ce 4.971 2.207 1.782
Ce 3.780 0.000 5.182
Ce 4.971 -2.207 1.782
Sn 3.695 0.000 0.000
As -1.232 0.000 3.479
As 3.695 4.262 0.000
As 2.463 2.087 3.479
As 2.463 -2.087 3.479
As 3.695 -4.262 0.000


(3)
6
Lattice="-2.157 3.091 6.702 2.157 -3.091 6.702 2.157 3.091 -6.702" Properties=species:S:1:pos:R:3 comment="Sr2CeAs3 | the Alexandria database | GGA-PBE | relaxed" ef_ev_per_fu=-6.67 sg="Immm (71)" pbc="T T T"
Sr 0.000 0.000 2.315
Sr 0.000 0.000 11.088
Ce 0.000 0.000 6.702
As 2.157 0.000 0.000
As 2.157 0.000 4.729
As 0.000 3.091 1.972


(4)
12
Lattice="3.694 -6.395 0.000 3.694 6.395 0.000 -2.460 0.000 6.965" Properties=species:S:1:pos:R:3 comment="SrCe5As6 | the Alexandria database | GGA-PBE | relaxed" ef_ev_per_fu=-16.46 sg="C2/m (12)" pbc="T T T"
Sr 0.000 0.000 0.000
Ce 2.464 4.294 3.482
Ce 3.694 2.142 0.000
Ce 2.464 0.000 3.482
Ce 3.694 -2.142 0.000
Ce 2.464 -4.294 3.482
As 1.277 2.205 1.787
As 0.087 0.000 5.183
As 1.277 -2.205 1.787
As 3.652 2.205 5.177
As 4.842 0.000 1.782
As 3.652 -2.205 5.177


(5)
10
Lattice="-2.133 3.016 10.715 2.133 -3.016 10.715 2.133 3.016 -10.715" Properties=species:S:1:pos:R:3 comment="SrCe4As5 | the Alexandria database | GGA-PBE | relaxed" ef_ev_per_fu=-13.58 sg="Immm (71)" pbc="T T T"
Sr 0.000 0.000 0.000
Ce 0.000 0.000 4.321
Ce 0.000 0.000 8.579
Ce 0.000 0.000 12.851
Ce 0.000 0.000 17.108
As 2.133 0.000 2.326
As 2.133 0.000 6.458
As 0.000 3.016 0.000
As 0.000 3.016 4.256
As 0.000 3.016 8.389


(6)
8
Lattice="4.294 -6.056 0.000 4.294 6.056 0.000 0.000 0.000 4.281" Properties=species:S:1:pos:R:3 comment="SrCe3As4 | the Alexandria database | GGA-PBE | relaxed" ef_ev_per_fu=-10.77 sg="Cmmm (65)" pbc="T T T"
Sr 0.000 0.000 0.000
Ce 2.147 3.028 2.140
Ce 2.147 -3.028 2.140
Ce 4.294 0.000 0.000
As 4.294 2.947 0.000
As 2.283 0.000 2.140
As 6.304 0.000 2.140
As 4.294 -2.947 0.000


Number 1: raw total energy -22.106 eV for the cell shown, total magnetic moment 0.00 μB per cell, density 7.58 Mg/m³. Number 2: raw total energy -77.834 eV for the cell shown, total magnetic moment 3.96 μB per cell, density 6.73 Mg/m³. Number 3: raw total energy -29.913 eV for the cell shown, total magnetic moment 0.00 μB per cell, density 5.02 Mg/m³. Number 4: raw total energy -75.713 eV for the cell shown, total magnetic moment 3.55 μB per cell, density 6.25 Mg/m³. Number 5: raw total energy -62.245 eV for the cell shown, total magnetic moment 2.75 μB per cell, density 6.16 Mg/m³. Number 6: raw total energy -48.850 eV for the cell shown, total magnetic moment 1.91 μB per cell, density 6.02 Mg/m³.